# CsTh2Cu2Se6, relaxed, DFT PBE
data_CsTh2Cu2Se6
_chemical_formula_sum 'Cs1 Th2 Cu2 Se6'
_cell_length_a 7.763
_cell_length_b 7.943
_cell_length_c 8.085
_cell_angle_alpha 61.14
_cell_angle_beta 61.36
_cell_angle_gamma 63.29
_space_group_name_H-M_alt 'P -1'
_space_group_IT_number 2
loop_
_space_group_symop_operation_xyz
'x,y,z'
'-x,-y,-z'
loop_
_atom_site_label
_atom_site_type_symbol
_atom_site_fract_x
_atom_site_fract_y
_atom_site_fract_z
Cs1 Cs 0.000 0.000 0.000
Th1 Th 0.329 0.011 0.330
Cu1 Cu 0.281 0.573 0.694
Se1 Se 0.078 0.745 0.489
Se2 Se 0.349 0.244 0.913
Se3 Se 0.471 0.754 0.670
# Raw total energy, eV per atom: -5.16
# Formation energy from raw total energies, eV per formula unit: -11.9
# Crystal system: triclinic



# CsTiCu3Se4, relaxed, DFT PBE
data_CsTiCu3Se4
_chemical_formula_sum 'Cs1 Ti1 Cu3 Se4'
_cell_length_a 6.317
_cell_length_b 6.317
_cell_length_c 6.317
_cell_angle_alpha 90.00
_cell_angle_beta 90.00
_cell_angle_gamma 90.00
_space_group_name_H-M_alt 'P -4 3 m'
_space_group_IT_number 215
_space_group_name_Hall 'P -4 2 3'
loop_
_atom_site_label
_atom_site_type_symbol
_atom_site_fract_x
_atom_site_fract_y
_atom_site_fract_z
Cs1 Cs 0.000 0.000 0.000
Ti1 Ti 0.500 0.500 0.500
Cu1 Cu 0.000 0.500 0.500
Se1 Se 0.284 0.284 0.716
# Raw total energy, eV per atom: -4.46
# Formation energy from raw total energies, eV per formula unit: -5.1
# ΔE to the lowest computed polymorph, eV per atom: 0.186
# Crystal system: cubic



# CsTiCu3Se4, relaxed, DFT PBE
data_CsTiCu3Se4
_chemical_formula_sum 'Cs2 Ti2 Cu6 Se8'
_cell_length_a 5.818
_cell_length_b 7.892
_cell_length_c 10.523
_cell_angle_alpha 90.00
_cell_angle_beta 106.00
_cell_angle_gamma 90.00
_space_group_name_H-M_alt 'P 1 21/m 1'
_space_group_IT_number 11
loop_
_space_group_symop_operation_xyz
'x,y,z'
'-x,-y,-z'
'-x,y+1/2,-z'
'x,-y+1/2,z'
loop_
_atom_site_label
_atom_site_type_symbol
_atom_site_fract_x
_atom_site_fract_y
_atom_site_fract_z
Cs1 Cs 0.199 0.250 0.381
Ti1 Ti 0.149 0.250 0.800
Cu1 Cu 0.278 0.507 0.002
Cu2 Cu 0.346 0.750 0.191
Se1 Se 0.024 0.250 0.007
Se2 Se 0.191 0.750 0.385
Se3 Se 0.388 0.502 0.793
# Raw total energy, eV per atom: -4.64
# Formation energy from raw total energies, eV per formula unit: -6.8
# ΔE to the lowest computed polymorph, eV per atom: 0.000
# Crystal system: monoclinic



# CsTiCuSe2, relaxed, DFT PBE
data_CsTiCuSe2
_chemical_formula_sum 'Cs4 Ti4 Cu4 Se8'
_cell_length_a 6.050
_cell_length_b 15.642
_cell_length_c 5.654
_cell_angle_alpha 90.00
_cell_angle_beta 90.00
_cell_angle_gamma 90.00
_space_group_name_H-M_alt 'C m m e'
_space_group_IT_number 67
_space_group_name_Hall '-C 2a 2'
loop_
_atom_site_label
_atom_site_type_symbol
_atom_site_fract_x
_atom_site_fract_y
_atom_site_fract_z
Cs1 Cs 0.000 0.250 0.231
Ti1 Ti 0.250 0.000 0.500
Cu1 Cu 0.000 0.000 0.000
Se1 Se 0.000 0.106 0.716
# Raw total energy, eV per atom: -4.75
# Formation energy from raw total energies, eV per formula unit: -3.9
# Crystal system: orthorhombic



# CsTlCuSe2, relaxed, DFT PBE
data_CsTlCuSe2
_chemical_formula_sum 'Cs2 Tl2 Cu2 Se4'
_cell_length_a 8.144
_cell_length_b 6.409
_cell_length_c 7.278
_cell_angle_alpha 90.00
_cell_angle_beta 116.11
_cell_angle_gamma 90.00
_space_group_name_H-M_alt 'P 1 2/c 1'
_space_group_IT_number 13
loop_
_space_group_symop_operation_xyz
'x,y,z'
'-x,-y,-z'
'-x,y,-z+1/2'
'x,-y,z+1/2'
loop_
_atom_site_label
_atom_site_type_symbol
_atom_site_fract_x
_atom_site_fract_y
_atom_site_fract_z
Cs1 Cs 0.000 0.247 0.250
Tl1 Tl 0.500 0.001 0.750
Cu1 Cu 0.500 0.500 0.000
Se1 Se 0.269 0.263 0.887
# Raw total energy, eV per atom: -3.36
# Formation energy from raw total energies, eV per formula unit: -2.5
# Crystal system: monoclinic



# CsTm2CuSe4, relaxed, DFT PBE
data_CsTm2CuSe4
_chemical_formula_sum 'Cs4 Tm8 Cu4 Se16'
_cell_length_a 4.131
_cell_length_b 14.550
_cell_length_c 14.421
_cell_angle_alpha 90.00
_cell_angle_beta 90.00
_cell_angle_gamma 90.00
_space_group_name_H-M_alt 'C m c m'
_space_group_IT_number 63
_space_group_name_Hall '-C 2c 2'
loop_
_atom_site_label
_atom_site_type_symbol
_atom_site_fract_x
_atom_site_fract_y
_atom_site_fract_z
Cs1 Cs 0.000 0.110 0.250
Tm1 Tm 0.000 0.367 0.063
Cu1 Cu 0.000 0.167 0.750
Se1 Se 0.000 0.000 0.000
Se2 Se 0.000 0.257 0.604
Se3 Se 0.000 0.423 0.250
# Raw total energy, eV per atom: -4.94
# Formation energy from raw total energies, eV per formula unit: -11.7
# Crystal system: orthorhombic



# CsTmCuSe2, relaxed, DFT PBE
data_CsTmCuSe2
_chemical_formula_sum 'Cs2 Tm2 Cu2 Se4'
_cell_length_a 8.439
_cell_length_b 4.552
_cell_length_c 8.200
_cell_angle_alpha 90.00
_cell_angle_beta 96.37
_cell_angle_gamma 90.00
_space_group_name_H-M_alt 'P 1 2/c 1'
_space_group_IT_number 13
loop_
_space_group_symop_operation_xyz
'x,y,z'
'-x,-y,-z'
'-x,y,-z+1/2'
'x,-y,z+1/2'
loop_
_atom_site_label
_atom_site_type_symbol
_atom_site_fract_x
_atom_site_fract_y
_atom_site_fract_z
Cs1 Cs 0.000 0.128 0.250
Tm1 Tm 0.500 0.496 0.750
Cu1 Cu 0.500 0.000 0.000
Se1 Se 0.286 0.357 0.976
# Raw total energy, eV per atom: -4.28
# Formation energy from raw total energies, eV per formula unit: -5.0
# Crystal system: monoclinic



# Cs3U3CuSe8, relaxed, DFT PBE
data_Cs3U3CuSe8
_chemical_formula_sum 'Cs6 U6 Cu2 Se16'
_cell_length_a 13.856
_cell_length_b 8.757
_cell_length_c 9.407
_cell_angle_alpha 90.00
_cell_angle_beta 116.32
_cell_angle_gamma 90.00
_space_group_name_H-M_alt 'C 1 2/m 1'
_space_group_IT_number 12
loop_
_space_group_symop_operation_xyz
'x,y,z'
'-x,-y,-z'
'-x,y,-z'
'x,-y,z'
'x+1/2,y+1/2,z'
'-x+1/2,-y+1/2,-z'
'-x+1/2,y+1/2,-z'
'x+1/2,-y+1/2,z'
loop_
_atom_site_label
_atom_site_type_symbol
_atom_site_fract_x
_atom_site_fract_y
_atom_site_fract_z
Cs1 Cs 0.000 0.000 0.000
Cs2 Cs 0.250 0.250 0.000
U1 U 0.000 0.500 0.500
U2 U 0.250 0.250 0.500
Cu1 Cu 0.000 0.000 0.500
Se1 Se 0.031 0.281 0.305
Se2 Se 0.194 0.000 0.654
Se3 Se 0.229 0.500 0.688
# Raw total energy, eV per atom: -5.63
# Formation energy from raw total energies, eV per formula unit: -16.1
# Crystal system: monoclinic



# CsUCuSe4, relaxed, DFT PBE
data_CsUCuSe4
_chemical_formula_sum 'Cs2 U2 Cu2 Se8'
_cell_length_a 7.067
_cell_length_b 5.798
_cell_length_c 10.059
_cell_angle_alpha 90.00
_cell_angle_beta 105.75
_cell_angle_gamma 90.00
_space_group_name_H-M_alt 'P 1 21/m 1'
_space_group_IT_number 11
loop_
_space_group_symop_operation_xyz
'x,y,z'
'-x,-y,-z'
'-x,y+1/2,-z'
'x,-y+1/2,z'
loop_
_atom_site_label
_atom_site_type_symbol
_atom_site_fract_x
_atom_site_fract_y
_atom_site_fract_z
Cs1 Cs 0.233 0.250 0.048
U1 U 0.268 0.250 0.552
Cu1 Cu 0.266 0.750 0.341
Se1 Se 0.010 0.510 0.687
Se2 Se 0.427 0.750 0.582
Se3 Se 0.476 0.750 0.193
# Raw total energy, eV per atom: -5.22
# Formation energy from raw total energies, eV per formula unit: -6.4
# Crystal system: monoclinic



# CsU2CuSe6, relaxed, DFT PBE
data_CsU2CuSe6
_chemical_formula_sum 'Cs4 U8 Cu4 Se24'
_cell_length_a 12.545
_cell_length_b 16.106
_cell_length_c 8.417
_cell_angle_alpha 90.00
_cell_angle_beta 113.50
_cell_angle_gamma 90.00
_space_group_name_H-M_alt 'C 1 2/c 1'
_space_group_IT_number 15
loop_
_space_group_symop_operation_xyz
'x,y,z'
'-x,-y,-z'
'-x,y,-z+1/2'
'x,-y,z+1/2'
'x+1/2,y+1/2,z'
'-x+1/2,-y+1/2,-z'
'-x+1/2,y+1/2,-z+1/2'
'x+1/2,-y+1/2,z+1/2'
loop_
_atom_site_label
_atom_site_type_symbol
_atom_site_fract_x
_atom_site_fract_y
_atom_site_fract_z
Cs1 Cs 0.000 0.106 0.250
U1 U 0.125 0.413 0.143
Cu1 Cu 0.000 0.183 0.750
Se1 Se 0.084 0.268 0.005
Se2 Se 0.120 0.436 0.472
Se3 Se 0.150 0.094 0.729
# Raw total energy, eV per atom: -5.58
# Formation energy from raw total energies, eV per formula unit: -7.4
# Crystal system: monoclinic